(1)
Material: SrPaNO
Method: DFT, PBE
State: relaxed

Cell and atoms, written as POSCAR:
```
SrPaNO
1.0
3.9738 0.0000 0.0000
0.0000 6.3259 0.0000
0.0000 0.0000 6.9551
N O Pa Sr
2 2 2 2
direct
0.0000 0.9093 0.2989
0.0000 0.4093 0.7011
0.5000 0.3572 0.1449
0.5000 0.8572 0.8551
0.5000 0.9951 0.1611
0.5000 0.4951 0.8389
0.0000 0.4923 0.3413
0.0000 0.9923 0.6587
```

Results
The value obtained for the total energy is -0.273 hartree per atom. As for the density: 6.623 g/cm3. The value obtained for the calculated volume is 174.8 Å³ per cell. Its space-group type is No. 26.

***

(2)
Material: LuSiHO4
Method: DFT, PBE
State: relaxed

Cell and atoms, written as POSCAR:
```
LuSiHO4
1.0
9.0875 0.0000 -0.6730
0.0000 6.1814 0.0000
-3.9858 0.0000 5.3958
H Lu O Si
4 4 16 4
direct
0.4064 0.3701 0.0695
0.5936 0.8701 0.4305
0.4064 0.1299 0.5695
0.5936 0.6299 0.9305
0.2215 0.8612 0.2262
0.7785 0.3612 0.2738
0.2215 0.6388 0.7262
0.7785 0.1388 0.7738
0.5601 0.7080 0.0312
0.7612 0.0577 0.0720
0.2795 0.5249 0.0901
0.0759 0.2025 0.0929
0.9241 0.7025 0.4071
0.7205 0.0249 0.4099
0.2388 0.5577 0.4280
0.4399 0.2080 0.4688
0.5601 0.7920 0.5312
0.7612 0.4423 0.5720
0.2795 0.9751 0.5901
0.0759 0.2975 0.5929
0.9241 0.7975 0.9071
0.7205 0.4751 0.9099
0.2388 0.9423 0.9280
0.4399 0.2920 0.9688
0.7515 0.8780 0.2386
0.2485 0.3780 0.2614
0.7515 0.6220 0.7386
0.2485 0.1220 0.7614
```

Results
The value obtained for the total energy is -0.274 hartree per atom. As for the density: 6.214 g/cm3. The value obtained for the calculated volume is 286.5 Å³ per cell. Its space-group type is No. 14.

***

(3)
Material: SmYS2I2
Method: DFT, PBE
State: relaxed

Cell and atoms, written as POSCAR:
```
SmYS2I2
1.0
4.2479 0.0000 0.0000
0.0000 5.4334 0.0000
0.0000 0.0000 9.6104
I S Sm Y
2 2 1 1
direct
0.5000 0.0000 0.3563
0.0000 0.5000 0.6512
0.0000 0.5000 0.0633
0.5000 0.0000 0.9288
0.0000 0.0000 0.1194
0.5000 0.5000 0.8810
```

Results
The value obtained for the total energy is -0.204 hartree per atom. As for the density: 4.171 g/cm3. The value obtained for the calculated volume is 221.8 Å³ per cell. Its space-group type is No. 25.

***

(4)
Material: MgTaNiAu
Method: DFT, PBE
State: relaxed

Cell and atoms, written as POSCAR:
```
MgTaNiAu
1.0
0.0000 3.1318 3.1318
3.1318 0.0000 3.1318
3.1318 3.1318 0.0000
Au Mg Ni Ta
1 1 1 1
direct
0.5000 0.5000 0.5000
0.7500 0.7500 0.7500
0.2500 0.2500 0.2500
0.0000 0.0000 0.0000
```

Results
The value obtained for the total energy is -0.204 hartree per atom. As for the density: 12.458 g/cm3. The value obtained for the calculated volume is 61.4 Å³ per cell. Its space-group type is No. 216.